Computed, not measured: crystalline Y2Ho3Tm9 at its relaxed geometry at the PBE level of DFT.

Output
Space-group type: P-1
Energy of formation, eV per atom: 0.127

Cell lengths 6.1306, 10.3414, 13.3107 Å; angles 40.44, 55.32, 56.52 degrees
Closest atoms and distances in Å follow each position.
Positions (direct):
Tm (0.7408, 0.8308, 0.9167)  3 Tm 3.17-3.42, 1 Y 3.36, 1 Ho 3.46
Ho (0.9997, 0.0003, 0.9997)  6 Tm 3.39-3.66, 2 Y 3.39
Tm (0.1947, 0.5138, 0.1030)  3 Tm 3.15-3.36, 2 Ho 3.35-3.42, 1 Y 3.49
Tm (0.2591, 0.1692, 0.0834)  3 Tm 3.17-3.42, 1 Y 3.36, 1 Ho 3.46
Ho (0.6354, 0.3443, 0.2733)  9 Tm 3.30-3.59, 1 Y 3.45
Y (0.5763, 0.6726, 0.2966)  8 Tm 3.36-3.63, 1 Y 3.38, 2 Ho 3.39-3.45
Tm (0.8053, 0.4862, 0.8971)  3 Tm 3.15-3.36, 2 Ho 3.35-3.42, 1 Y 3.49
Tm (0.9875, 0.1610, 0.5059)  7 Tm 3.36-3.49, 2 Y 3.44-3.60, 2 Ho 3.46-3.51
Tm (0.5962, 0.0088, 0.3047)  3 Ho 3.30-3.51, 6 Tm 3.38-3.56, 1 Y 3.63
Tm (0.0000, 0.4999, 0.5001)  4 Y 3.42-3.58, 4 Tm 3.49-3.56, 2 Ho 3.74
Tm (0.4040, 0.9912, 0.6953)  3 Ho 3.30-3.51, 6 Tm 3.38-3.56, 1 Y 3.63
Ho (0.3647, 0.6556, 0.7267)  9 Tm 3.30-3.59, 1 Y 3.45
Y (0.4238, 0.3274, 0.7034)  8 Tm 3.36-3.63, 1 Y 3.38, 2 Ho 3.39-3.45
Tm (0.0125, 0.8390, 0.4941)  7 Tm 3.36-3.49, 2 Y 3.44-3.60, 2 Ho 3.46-3.51